(1)
Pa3PSe2, relaxed, DFT PBE; electronic total energy = -48.47 eV per formula unit; energy relative to the elements, uncorrected = -1.267 eV/atom
1.0
6.706 0.139 0.240
-1.349 6.917 -0.110
-1.349 -3.525 5.953
Pa P Se
6 2 4
Direct
0.005 0.191 0.348
0.505 0.348 0.191
0.000 0.500 0.000
0.995 0.809 0.652
0.500 0.000 0.500
0.495 0.652 0.809
0.250 0.589 0.411
0.750 0.411 0.589
0.250 0.918 0.082
0.250 0.243 0.757
0.750 0.082 0.918
0.750 0.757 0.243

(2)
PaPSe, relaxed, DFT PBE; ΔE to the lowest computed polymorph = 19.0 kJ per mole of atoms; electronic total energy = -21.53 eV per formula unit; energy relative to the elements, uncorrected = -1.045 eV/atom
1.0
-1.784 -2.671 -2.257
2.634 -1.709 3.355
-8.476 0.892 5.643
Pa P Se
2 2 2
Direct
0.430 0.860 0.162
0.570 0.140 0.838
0.117 0.234 0.051
0.883 0.766 0.949
0.772 0.544 0.309
0.228 0.456 0.691

(3)
Pa4P3Se, relaxed, DFT PBE; electronic total energy = -68.17 eV per formula unit; energy relative to the elements, uncorrected = -1.309 eV/atom
1.0
3.929 0.000 0.000
0.000 5.641 0.000
0.000 0.000 8.125
P Pa Se
3 4 1
Direct
0.500 0.500 0.250
0.000 0.000 0.500
0.500 0.500 0.750
0.000 0.500 0.500
0.500 0.000 0.738
0.000 0.500 0.000
0.500 0.000 0.262
0.000 0.000 0.000

(4)
PaPSe, relaxed, DFT PBE; ΔE to the lowest computed polymorph = 18.1 kJ per mole of atoms; electronic total energy = -21.56 eV per formula unit; energy relative to the elements, uncorrected = -1.055 eV/atom
1.0
-1.346 -4.130 1.767
2.004 -1.643 3.909
-2.443 -0.155 4.000
P Pa Se
1 1 1
Direct
0.000 0.000 0.000
0.250 0.250 0.250
0.500 0.500 0.500

(5)
Pa2PSe, relaxed, DFT PBE; ΔE to the lowest computed polymorph = 29.3 kJ per mole of atoms; electronic total energy = -31.88 eV per formula unit; energy relative to the elements, uncorrected = -0.999 eV/atom
1.0
3.458 0.000 0.000
0.000 3.458 0.000
0.000 0.000 6.965
P Pa Se
1 2 1
Direct
0.500 0.500 0.500
0.000 0.000 0.737
0.000 0.000 0.263
0.500 0.500 0.000

(6)
PaPSe, relaxed, DFT PBE; ΔE to the lowest computed polymorph = 0.0 kJ per mole of atoms; electronic total energy = -22.12 eV per formula unit; energy relative to the elements, uncorrected = -1.242 eV/atom
1.0
3.891 0.000 -0.811
-0.169 3.887 -0.811
-0.254 -0.265 8.520
Pa P Se
2 2 2
Direct
0.379 0.379 0.759
0.621 0.621 0.241
0.000 0.500 0.000
0.500 0.000 0.000
0.185 0.185 0.370
0.815 0.815 0.630

(7)
Pa3PSe2, relaxed, DFT PBE; electronic total energy = -48.46 eV per formula unit; energy relative to the elements, uncorrected = -1.266 eV/atom
1.0
-1.992 -3.225 -0.659
3.932 -3.008 2.836
-4.183 3.999 4.302
Pa P Se
3 1 2
Direct
0.344 0.344 0.689
0.000 0.000 0.000
0.656 0.656 0.311
0.000 0.500 0.000
0.671 0.171 0.341
0.329 0.829 0.659

(8)
Pa5P4Se, relaxed, DFT PBE; electronic total energy = -85.74 eV per formula unit; energy relative to the elements, uncorrected = -1.314 eV/atom
1.0
3.865 0.000 -0.746
-0.290 5.424 -1.506
0.056 0.038 10.677
Pa P Se
5 4 1
Direct
0.605 0.105 0.211
0.801 0.301 0.602
0.199 0.699 0.398
0.000 0.500 0.000
0.395 0.895 0.789
0.400 0.400 0.801
0.798 0.798 0.596
0.202 0.202 0.404
0.600 0.600 0.199
0.000 0.000 0.000

(9)
PaPSe, relaxed, DFT PBE; ΔE to the lowest computed polymorph = 21.3 kJ per mole of atoms; electronic total energy = -21.45 eV per formula unit; energy relative to the elements, uncorrected = -1.021 eV/atom
1.0
-2.936 -2.143 -0.721
2.232 -2.937 -0.357
-0.089 1.674 4.908
P Pa Se
1 1 1
Direct
0.315 0.315 0.630
0.673 0.673 0.345
0.012 0.012 0.025

(10)
Pa5P2Se5, relaxed, DFT PBE; electronic total energy = -89.51 eV per formula unit; energy relative to the elements, uncorrected = -1.149 eV/atom
1.0
3.960 0.000 0.000
-1.980 6.617 -0.186
0.000 -3.465 11.356
Pa P Se
5 2 5
Direct
0.121 0.243 0.424
0.681 0.362 0.791
0.319 0.638 0.209
0.879 0.757 0.576
0.000 0.000 0.000
0.036 0.072 0.788
0.964 0.928 0.212
0.500 0.000 0.500
0.666 0.332 0.048
0.731 0.461 0.334
0.269 0.539 0.666
0.334 0.668 0.952

(11)
Pa2PSe, relaxed, DFT PBE; ΔE to the lowest computed polymorph = 24.5 kJ per mole of atoms; electronic total energy = -32.08 eV per formula unit; energy relative to the elements, uncorrected = -1.049 eV/atom
1.0
-1.924 -0.770 3.002
-5.438 -3.623 -4.416
3.151 -5.478 0.615
Pa P Se
4 2 2
Direct
0.250 0.494 0.238
0.750 0.506 0.762
0.750 0.994 0.762
0.250 0.006 0.238
0.750 0.250 0.081
0.250 0.750 0.919
0.250 0.250 0.585
0.750 0.750 0.415

(12)
Pa2PSe, relaxed, DFT PBE; ΔE to the lowest computed polymorph = 2.3 kJ per mole of atoms; electronic total energy = -33.00 eV per formula unit; energy relative to the elements, uncorrected = -1.278 eV/atom
1.0
-1.059 -4.694 3.019
3.510 1.829 4.074
-9.063 5.058 4.687
Pa P Se
8 4 4
Direct
0.750 0.000 0.882
0.250 0.000 0.118
0.750 0.500 0.618
0.250 0.500 0.382
0.750 0.500 0.132
0.250 0.500 0.868
0.750 0.000 0.368
0.250 0.000 0.632
0.250 0.500 0.625
0.750 0.500 0.375
0.250 0.000 0.875
0.750 0.000 0.125
0.250 0.000 0.375
0.750 0.000 0.625
0.250 0.500 0.125
0.750 0.500 0.875

(13)
PaPSe, relaxed, DFT PBE; ΔE to the lowest computed polymorph = 37.9 kJ per mole of atoms; electronic total energy = -20.94 eV per formula unit; energy relative to the elements, uncorrected = -0.850 eV/atom
1.0
-1.038 -3.916 -2.269
5.121 2.069 -5.912
5.997 -3.824 3.856
P Pa Se
4 4 4
Direct
0.500 0.584 0.369
0.500 0.416 0.631
0.000 0.369 0.416
0.000 0.631 0.584
0.500 0.779 0.647
0.000 0.353 0.779
0.000 0.647 0.221
0.500 0.221 0.353
0.500 0.287 0.018
0.000 0.982 0.287
0.000 0.018 0.713
0.500 0.713 0.982

(14)
Pa8P3Se5, relaxed, DFT PBE; electronic total energy = -130.09 eV per formula unit; energy relative to the elements, uncorrected = -1.280 eV/atom
1.0
-7.084 -3.274 1.819
-0.305 -7.199 3.505
-2.268 -0.578 7.775
Pa P Se
8 3 5
Direct
0.250 0.250 0.736
0.250 0.765 0.736
0.765 0.250 0.736
0.757 0.757 0.729
0.750 0.750 0.264
0.750 0.235 0.264
0.235 0.750 0.264
0.243 0.243 0.271
0.500 0.000 0.500
0.000 0.000 0.500
0.000 0.500 0.500
0.500 0.000 0.000
0.500 0.500 0.000
0.000 0.000 0.000
0.000 0.500 0.000
0.500 0.500 0.500

(15)
Pa2PSe, relaxed, DFT PBE; ΔE to the lowest computed polymorph = 0.0 kJ per mole of atoms; electronic total energy = -33.10 eV per formula unit; energy relative to the elements, uncorrected = -1.302 eV/atom
1.0
-2.018 -3.472 0.045
1.683 -3.321 -1.505
2.422 -3.661 5.427
P Pa Se
1 2 1
Direct
0.000 0.000 0.000
0.743 0.743 0.770
0.257 0.257 0.230
0.500 0.500 0.500

(16)
Pa3PSe5, relaxed, DFT PBE; electronic total energy = -61.51 eV per formula unit; energy relative to the elements, uncorrected = -1.132 eV/atom
1.0
-0.907 5.793 -4.913
-7.581 0.725 -0.727
-2.309 7.783 5.744
Pa P Se
6 2 10
Direct
0.664 0.664 0.837
0.701 0.701 0.405
0.000 0.000 0.000
0.000 0.000 0.500
0.336 0.336 0.163
0.299 0.299 0.595
0.067 0.067 0.724
0.933 0.933 0.276
0.008 0.379 0.376
0.304 0.696 0.000
0.756 0.756 0.070
0.482 0.482 0.335
0.518 0.518 0.665
0.244 0.244 0.930
0.379 0.008 0.376
0.696 0.304 0.000
0.992 0.621 0.624
0.621 0.992 0.624

(17)
Pa4PSe5, relaxed, DFT PBE; electronic total energy = -74.19 eV per formula unit; energy relative to the elements, uncorrected = -1.338 eV/atom
1.0
4.013 0.000 0.000
0.000 8.017 -0.422
-2.007 -1.573 8.620
Pa P Se
4 1 5
Direct
0.339 0.914 0.678
0.002 0.764 0.004
0.661 0.086 0.322
0.998 0.236 0.996
0.500 0.000 0.000
0.835 0.664 0.670
0.830 0.172 0.660
0.170 0.828 0.340
0.500 0.500 0.000
0.165 0.336 0.330

(18)
Pa2PSe2, relaxed, DFT PBE; ΔE to the lowest computed polymorph = 0.0 kJ per mole of atoms; electronic total energy = -38.16 eV per formula unit; energy relative to the elements, uncorrected = -1.357 eV/atom
1.0
3.931 0.000 0.727
1.898 3.443 0.727
0.092 0.055 10.492
Pa P Se
2 1 2
Direct
0.615 0.615 0.154
0.385 0.385 0.846
0.000 0.000 0.000
0.228 0.228 0.317
0.772 0.772 0.683

(19)
Pa2PSe2, relaxed, DFT PBE; ΔE to the lowest computed polymorph = 18.9 kJ per mole of atoms; electronic total energy = -37.18 eV per formula unit; energy relative to the elements, uncorrected = -1.162 eV/atom
1.0
-2.107 -2.866 1.632
4.756 -2.946 0.968
-0.768 5.588 4.131
Pa P Se
2 1 2
Direct
0.657 0.157 0.315
0.343 0.843 0.685
0.000 0.000 0.000
0.337 0.337 0.674
0.663 0.663 0.326

(20)
Pa2PSe, relaxed, DFT PBE; ΔE to the lowest computed polymorph = 9.5 kJ per mole of atoms; electronic total energy = -32.70 eV per formula unit; energy relative to the elements, uncorrected = -1.204 eV/atom
1.0
3.801 0.000 0.000
1.901 3.292 0.000
1.901 1.097 7.384
Pa P Se
2 1 1
Direct
0.076 0.076 0.773
0.258 0.258 0.226
0.667 0.667 0.998
0.499 0.499 0.503